Below is Zn2Cd2As after structural relaxation, with properties calculated at the PBEsol level.

Values from the calculation:
SG: I4/mmm, No. 139
VASP energy: -1.88 eV/atom
energy of formation from the pure elements: 254 meV/atom
DOS(E_F): 0.290 states/eV per atom
magnetization: 0.00 Bohr magnetons per cell

a b c (Å): 6.841 6.841 6.841
angles (deg): 146.62 146.62 47.93
Atoms (fractional coordinates):
Zn: 0.093 0.093 0.000
Zn: 0.907 0.907 0.000
Cd: 0.250 0.750 0.500
Cd: 0.750 0.250 0.500
As: 0.500 0.500 0.000

Below is Ag3Mo3AsO13 after structural relaxation, with properties calculated at the PBEsol level.

Values from the calculation:
SG: P-1, No. 2
VASP energy: -7.32 eV/atom
raw formation energy: -1.391 eV per atom
magnetization: 0.00 Bohr magnetons per cell

a b c (Å): 8.068 8.086 9.516
angles (deg): 113.48 97.46 105.32
Atoms (fractional coordinates):
Ag: 0.072 0.335 0.055
Ag: 0.267 0.541 0.571
Ag: 0.375 0.634 0.923
Ag: 0.625 0.366 0.077
Ag: 0.733 0.459 0.429
Ag: 0.928 0.665 0.945
Mo: 0.109 0.946 0.737
Mo: 0.308 0.086 0.249
Mo: 0.477 0.210 0.636
Mo: 0.523 0.790 0.364
Mo: 0.692 0.914 0.751
Mo: 0.891 0.054 0.263
As: 0.069 0.723 0.341
As: 0.931 0.277 0.659
O: 0.027 0.268 0.508
O: 0.062 0.465 0.836
O: 0.094 0.932 0.324
O: 0.116 0.179 0.234
O: 0.194 0.148 0.922
O: 0.218 0.798 0.754
O: 0.250 0.878 0.074
O: 0.255 0.067 0.636
O: 0.267 0.685 0.385
O: 0.401 0.312 0.517
O: 0.444 0.003 0.373
O: 0.460 0.622 0.166
O: 0.462 0.255 0.220
O: 0.538 0.745 0.780
O: 0.540 0.378 0.834
O: 0.556 0.997 0.627
O: 0.599 0.688 0.483
O: 0.733 0.315 0.615
O: 0.745 0.933 0.364
O: 0.750 0.122 0.926
O: 0.782 0.202 0.246
O: 0.806 0.852 0.078
O: 0.884 0.821 0.766
O: 0.906 0.068 0.676
O: 0.938 0.535 0.164
O: 0.973 0.732 0.492

Below is Sb3PbC after structural relaxation, with properties calculated at the PBEsol level.

Values from the calculation:
SG: Pm-3m, No. 221
VASP energy: -4.65 eV/atom
DOS(E_F): 0.838 states/eV per atom
raw formation energy: 0.813 eV per atom
magnetization: 0.00 Bohr magnetons per cell

a b c (Å): 4.860 4.860 4.860
angles (deg): 90.00 90.00 90.00
Atoms (fractional coordinates):
Sb: 0.000 0.000 0.500
Sb: 0.000 0.500 0.000
Sb: 0.500 0.000 0.000
Pb: 0.500 0.500 0.500
C: 0.000 0.000 0.000

Below is KCr2Mo after structural relaxation, with properties calculated at the PBEsol level.

Values from the calculation:
E above lowest polymorph: 0.623 eV per atom
SG: Immm, No. 71
VASP energy: -6.81 eV/atom
energy of formation from the pure elements: 1539 meV/atom
DOS(E_F): 0.747 states/eV per atom
magnetization: 4.76 Bohr magnetons per cell

a b c (Å): 5.803 5.803 5.803
angles (deg): 150.33 120.18 68.18
Atoms (fractional coordinates):
K: 0.000 0.000 0.000
Cr: 0.303 0.803 0.500
Cr: 0.697 0.197 0.500
Mo: 0.500 0.500 0.000